Density functional theory data (PBE) for a geometry-optimized AcAsIrO structure.

Cell: 6.264 6.264 4.653 Å, 90.00 90.00 90.00°
Space group P4/nmm (No. 129, origin choice 2)
Inequivalent atoms, fractional coordinates:
Ac (0.250, 0.750, 0.000) x2
As (0.250, 0.250, 0.499) x2
Ir (0.250, 0.250, 0.999) x2
O (0.250, 0.750, 0.500) x2

Magnetic moment in μB per formula unit: 0.0
Distance to the lowest polymorph of the same formula in meV per atom: 838



Density functional theory data (PBE) for a geometry-optimized PuTcB structure.

Cell: 5.642 5.642 5.642 Å, 90.00 90.00 90.00°
Space group F-43m (No. 216)
Inequivalent atoms, fractional coordinates:
Pu (0.000, 0.000, 0.000) x4
Tc (0.000, 0.000, 0.500) x4
B (0.250, 0.250, 0.250) x4

Magnetic moment in μB per formula unit: 4.3
Distance to the lowest polymorph of the same formula in meV per atom: 0



Density functional theory data (PBE) for a geometry-optimized BaHg2Au2 structure.

Cell: 4.694 4.694 12.385 Å, 90.00 90.00 90.00°
Space group I4/mmm (No. 139)
Inequivalent atoms, fractional coordinates:
Ba (0.000, 0.000, 0.000) x2
Hg (0.000, 0.500, 0.250) x4
Au (0.000, 0.000, 0.390) x4

Distance to the lowest polymorph of the same formula in meV per atom: 0



Density functional theory data (PBE) for a geometry-optimized CuB4W structure.

Cell: 2.9654 2.9654 7.0700 Å, 90.00 90.00 120.00°
Space group P6/mmm (No. 191)
Inequivalent atoms, fractional coordinates:
Cu (0.0000, 0.0000, 0.0000) x1
B (0.3333, 0.6667, 0.2603) x4
W (0.0000, 0.0000, 0.5000) x1

Magnetic moment in μB per formula unit: 0.0
Distance to the lowest polymorph of the same formula in meV per atom: 0



Density functional theory data (PBE) for a geometry-optimized TlAgPtS3 structure.

Cell: 3.659 13.113 10.595 Å, 90.00 90.00 90.00°
Space group Cmcm (No. 63)
Inequivalent atoms, fractional coordinates:
Tl (0.000, 0.186, 0.250) x4
Ag (0.000, 0.133, 0.750) x4
Pt (0.000, 0.500, 0.000) x4
S (0.000, 0.118, 0.516) x8
S (0.000, 0.480, 0.750) x4

Magnetic moment in μB per formula unit: 0.0



Density functional theory data (PBE) for a geometry-optimized CsCuReTe2S structure.

Cell: 3.953 17.283 9.776 Å, 90.00 90.00 90.00°
Space group Cmcm (No. 63)
Inequivalent atoms, fractional coordinates:
Cs (0.000, 0.243, 0.250) x4
Cu (0.000, 0.018, 0.750) x4
Re (0.000, 0.500, 0.000) x4
Te (0.000, 0.109, 0.541) x8
S (0.000, 0.449, 0.750) x4

Magnetic moment in μB per formula unit: 2.2



Density functional theory data (PBE) for a geometry-optimized NaTaAuSeS2 structure.

Cell: 3.535 14.182 9.946 Å, 90.00 90.00 90.00°
Space group Cmcm (No. 63)
Inequivalent atoms, fractional coordinates:
Na (0.000, 0.243, 0.250) x4
Ta (0.000, 0.000, 0.000) x4
Au (0.000, 0.432, 0.750) x4
Se (0.000, 0.085, 0.750) x4
S (0.000, 0.375, 0.526) x8

Magnetic moment in μB per formula unit: 0.0



Density functional theory data (PBE) for a geometry-optimized LiTlFeNi structure.

Cell: 6.137 6.137 6.137 Å, 90.00 90.00 90.00°
Space group F-43m (No. 216)
Inequivalent atoms, fractional coordinates:
Li (0.000, 0.000, 0.000) x4
Tl (0.250, 0.250, 0.250) x4
Fe (0.000, 0.000, 0.500) x4
Ni (0.250, 0.250, 0.750) x4

Magnetic moment in μB per formula unit: 3.1
Distance to the lowest polymorph of the same formula in meV per atom: 45



Density functional theory data (PBE) for a geometry-optimized DyErPd2 structure.

Cell: 4.472 6.877 5.646 Å, 90.00 90.00 90.00°
Space group Pmn2_1 (No. 31)
Inequivalent atoms, fractional coordinates:
Dy (0.000, 0.068, 0.000) x2
Er (0.000, 0.568, 0.216) x2
Pd (0.000, 0.213, 0.514) x2
Pd (0.000, 0.704, 0.703) x2

Energy of formation in meV per atom: -938.6
Magnetic moment in μB per formula unit: 0.0
Distance to the lowest polymorph of the same formula in meV per atom: 4



Density functional theory data (PBE) for a geometry-optimized RbSmTmSe3 structure.

Cell: 4.527 15.714 11.364 Å, 90.00 90.00 90.00°
Space group Cmcm (No. 63)
Inequivalent atoms, fractional coordinates:
Rb (0.000, 0.240, 0.250) x4
Sm (0.000, 0.500, 0.000) x4
Tm (0.000, 0.032, 0.750) x4
Se (0.000, 0.123, 0.552) x8
Se (0.000, 0.437, 0.750) x4

Magnetic moment in μB per formula unit: 0.0



Density functional theory data (PBE) for a geometry-optimized RbTbCu3Te4 structure.

Cell: 6.567 8.275 10.773 Å, 90.00 107.29 90.00°
Space group P2_1/m (No. 11)
Inequivalent atoms, fractional coordinates:
Rb (0.199, 0.250, 0.408) x2
Tb (0.157, 0.250, 0.818) x2
Cu (0.339, 0.750, 0.192) x2
Cu (0.345, 0.583, 0.994) x4
Te (0.004, 0.750, 0.948) x2
Te (0.224, 0.750, 0.402) x2
Te (0.427, 0.520, 0.776) x4

Magnetic moment in μB per formula unit: 0.1
Distance to the lowest polymorph of the same formula in meV per atom: 0



Density functional theory data (PBE) for a geometry-optimized Ta4Ga3Mo2C3 structure.

Cell: 9.364 5.411 13.731 Å, 90.00 103.18 90.00°
Space group C2/c (No. 15)
Inequivalent atoms, fractional coordinates:
Ta (0.114, 0.087, 0.091) x8
Ta (0.222, 0.081, 0.409) x8
Ga (0.000, 0.105, 0.750) x4
Ga (0.157, 0.425, 0.251) x8
Mo (0.052, 0.420, 0.914) x8
C (0.085, 0.244, 0.500) x8
C (0.250, 0.250, 0.000) x4

Magnetic moment in μB per formula unit: 0.0



no.,total DFT energy (no corrections) (eV per cell)
1,-53.08
2,-121.91
3,-22.71
4,-43.01
5,-98.49
6,-112.69
7,-127.01
8,-69.42
9,-46.54
10,-119.78
11,-68.47
12,-442.10